The following is a SCAN calculation of a PBEsol-optimized structure of NaTiTeI2, from Alexandria via LeMat-Bulk.

* electronic total energy: -26.897 eV/atom
* formation energy without anion corrections: -338 kJ/mol of formula units

Structure (POSCAR):
```
NaTiTeI2
1.0
-4.410 1.541 -2.496
-2.563 -4.795 1.568
-1.803 2.514 4.738
Na I Ti Te
1 2 1 1
Direct
0.500 0.500 0.500
0.000 0.000 0.500
0.000 0.500 0.000
0.000 0.000 0.000
0.500 0.000 0.000
```